Sr2ZnAg: optimized geometry, PBE.

Output
**Energy of formation**: 12.620 kcal/mol of atoms
**SG**: Immm, No. 71

Cell: 3.8988 6.7525 12.7465 Å, 90.00 90.00 90.00°
Last column: nearest neighbours and their distance in Å.
Positions (direct):
Sr1 0.0000 0.0000 0.2456  1 Ag 3.13, 1 Zn 3.24
Sr2 0.0000 0.0000 0.7544  1 Ag 3.13, 1 Zn 3.24
Sr3 0.5000 0.5000 0.2544  1 Ag 3.13, 1 Zn 3.24
Sr4 0.5000 0.5000 0.7456  1 Ag 3.13, 1 Zn 3.24
Zn1 0.0000 0.0000 0.5000  2 Sr 3.24
Zn2 0.5000 0.5000 0.0000  2 Sr 3.24
Ag1 0.0000 0.0000 0.0000  2 Sr 3.13
Ag2 0.5000 0.5000 0.5000  2 Sr 3.13